VASP calculation (GGA-PBE) on K2RbNaHg2 after structural relaxation.

Geometry as CIF:
```
data_K2RbNaHg2
_cell_length_a 5.367
_cell_length_b 9.188
_cell_length_c 10.616
_cell_angle_alpha 90.00
_cell_angle_beta 90.00
_cell_angle_gamma 90.00
_space_group_name_H-M_alt 'P 1'
_space_group_IT_number 1
loop_
_space_group_symop_operation_xyz
'x,y,z'
loop_
_atom_site_label
_atom_site_fract_x
_atom_site_fract_y
_atom_site_fract_z
_atom_site_occupancy
K1 0.500 0.028 0.083 1
K2 0.000 0.363 0.177 1
K3 0.500 0.528 0.917 1
K4 0.000 0.863 0.823 1
Rb1 0.000 0.981 0.430 1
Rb2 0.000 0.481 0.570 1
Na1 0.500 0.152 0.690 1
Na2 0.500 0.652 0.310 1
Hg1 0.000 0.244 0.858 1
Hg2 0.500 0.277 0.386 1
Hg3 0.000 0.744 0.142 1
Hg4 0.500 0.777 0.614 1
```

Calculated values
symmetry = No. 26
DFT formation energy = -0.17 eV per atom
N(E_F) = 0.393 states/eV per atom